Entry a
The following is a PBE with a Hubbard U calculation of crystalline Fe3BiF at its relaxed geometry, from the Alexandria database.

Unit cell a=4.3644 b=4.3644 c=4.3644 alpha=90.00 beta=90.00 gamma=90.00
Last column: nearest neighbours and their distance in Å.
Element x y z (fractional)
Fe (0.0000, 0.0000, 0.5000)  2 F 2.18
Fe (0.0000, 0.5000, 0.0000)  2 F 2.18
Fe (0.5000, 0.0000, 0.0000)  2 F 2.18
Bi (0.5000, 0.5000, 0.5000)  12 Fe 3.09
F (0.0000, 0.0000, 0.0000)  6 Fe 2.18


Entry b
The following is a PBE with a Hubbard U calculation of crystalline Fe3BiF at its relaxed geometry, from the Alexandria database.

Unit cell a=5.2739 b=5.2739 c=5.2739 alpha=90.00 beta=90.00 gamma=90.00
Last column: nearest neighbours and their distance in Å.
Element x y z (fractional)
Fe (0.0000, 0.0000, 0.5000)  2 Bi 2.64
Fe (0.0000, 0.5000, 0.0000)  2 Bi 2.64
Fe (0.5000, 0.0000, 0.0000)  2 Bi 2.64
Bi (0.0000, 0.0000, 0.0000)  6 Fe 2.64
F (0.5000, 0.5000, 0.5000)  12 Fe 3.73


The most stable of them is entry a.


Entry a
The following is a PBE with a Hubbard U calculation of crystalline FeBiF3 at its relaxed geometry, from the Alexandria database.

Unit cell a=4.6614 b=4.6614 c=4.6614 alpha=90.00 beta=90.00 gamma=90.00
Last column: nearest neighbours and their distance in Å.
Element x y z (fractional)
Fe (0.0000, 0.0000, 0.0000)  12 F 3.30
Bi (0.5000, 0.5000, 0.5000)  6 F 2.33
F (0.0000, 0.5000, 0.5000)  2 Bi 2.33
F (0.5000, 0.0000, 0.5000)  2 Bi 2.33
F (0.5000, 0.5000, 0.0000)  2 Bi 2.33


Entry b
The following is a PBE with a Hubbard U calculation of crystalline FeBiF3 at its relaxed geometry, from the Alexandria database.

Unit cell a=4.2299 b=4.2299 c=4.2299 alpha=90.00 beta=90.00 gamma=90.00
Last column: nearest neighbours and their distance in Å.
Element x y z (fractional)
Fe (0.0000, 0.0000, 0.0000)  6 F 2.11
Bi (0.5000, 0.5000, 0.5000)  12 F 2.99
F (0.0000, 0.0000, 0.5000)  2 Fe 2.11
F (0.0000, 0.5000, 0.0000)  2 Fe 2.11
F (0.5000, 0.0000, 0.0000)  2 Fe 2.11


The most stable of them is entry b.


Entry a
The following is a PBE with a Hubbard U calculation of crystalline Fe2BiF at its relaxed geometry, from the Alexandria database.

Unit cell a=7.5343 b=7.5343 c=7.5343 alpha=140.06 beta=140.06 gamma=57.77
Last column: nearest neighbours and their distance in Å.
Element x y z (fractional)
Fe (0.3750, 0.0159, 0.1409)  2 F 2.17
Fe (0.7659, 0.6250, 0.6409)  2 F 2.17
Fe (0.8750, 0.2341, 0.8591)  2 F 2.17
Fe (0.9841, 0.1250, 0.3591)  2 F 2.17
Bi (0.2500, 0.7500, 0.5000)  4 Fe 2.90
Bi (0.5000, 0.5000, 0.0000)  4 Fe 2.90
F (0.0000, 0.0000, 0.0000)  4 Fe 2.17
F (0.7500, 0.2500, 0.5000)  4 Fe 2.17


Entry b
The following is a PBE with a Hubbard U calculation of crystalline Fe2BiF at its relaxed geometry, from the Alexandria database.

Unit cell a=4.6664 b=4.6664 c=4.6664 alpha=60.00 beta=60.00 gamma=60.00
Last column: nearest neighbours and their distance in Å.
Element x y z (fractional)
Fe (0.2500, 0.2500, 0.2500)  4 F 2.86, 4 Bi 2.86
Fe (0.7500, 0.7500, 0.7500)  4 F 2.86, 4 Bi 2.86
Bi (0.0000, 0.0000, 0.0000)  8 Fe 2.86
F (0.5000, 0.5000, 0.5000)  8 Fe 2.86


The most stable of them is entry a.


Entry a
The following is a PBE with a Hubbard U calculation of crystalline FeBiN2F at its relaxed geometry, from the Alexandria database.

Unit cell a=3.9984 b=3.9984 c=3.9420 alpha=90.00 beta=90.00 gamma=90.00
Last column: nearest neighbours and their distance in Å.
Element x y z (fractional)
Fe (0.0000, 0.0000, 0.0000)  2 F 1.97, 4 N 2.00
Bi (0.5000, 0.5000, 0.5000)  8 N 2.81, 4 F 2.83
N (0.0000, 0.5000, 0.0000)  2 Fe 2.00
N (0.5000, 0.0000, 0.0000)  2 Fe 2.00
F (0.0000, 0.0000, 0.5000)  2 Fe 1.97


Entry b
The following is a PBE with a Hubbard U calculation of crystalline FeBiN2F at its relaxed geometry, from the Alexandria database.

Unit cell a=4.3298 b=4.3298 c=4.3298 alpha=90.00 beta=90.00 gamma=90.00
Last column: nearest neighbours and their distance in Å.
Element x y z (fractional)
Fe (0.0000, 0.0000, 0.0000)  8 N 3.06, 4 F 3.06
Bi (0.5000, 0.5000, 0.5000)  2 F 2.16, 4 N 2.16
N (0.0000, 0.5000, 0.5000)  2 Bi 2.16
N (0.5000, 0.0000, 0.5000)  2 Bi 2.16
F (0.5000, 0.5000, 0.0000)  2 Bi 2.16


The most stable of them is entry a.